This record from the Alexandria database describes a PBEsol-optimized structure of CrSiMo2. The functional is meta-GGA SCAN.

Properties
The total magnetization comes out at 0.000 μB/atom. For the total energy, the calculation gives -98.2 eV per cell. As for the space group: Cmmm.

The structure in CIF format:
```
data_CrSiMo2
_cell_length_a 3.073
_cell_length_b 4.208
_cell_length_c 4.208
_cell_angle_alpha 97.94
_cell_angle_beta 90.00
_cell_angle_gamma 90.00
_space_group_name_H-M_alt 'P 1'
_space_group_IT_number 1
_space_group_name_Hall 'P 1'
loop_
_atom_site_label
_atom_site_fract_x
_atom_site_fract_y
_atom_site_fract_z
Cr1 0.500 0.500 0.500
Mo1 0.000 0.500 0.000
Mo2 0.000 0.000 0.500
Si1 0.500 0.000 0.000
```